(1)
This record from the Alexandria database describes an optimized crystal structure of PaCdBiAu. The functional is PBE.

The space group is F-43m (No. 216) and the conventional cell measures 7.359, 7.359 and 7.359 Å, with angles of 90.00, 90.00 and 90.00 degrees. Symmetry generates all atoms from Pa at (0.000, 0.000, 0.000), Cd at (0.000, 0.000, 0.500), Bi at (0.250, 0.250, 0.750) and Au at (0.250, 0.250, 0.250).

The final energy comes out at -71.4 eV per cell. For the energy relative to the elements, the calculation gives -0.070 eV/atom. As for the volume: 398.5 Å³ per cell.


(2)
This record from the Alexandria database describes an optimized crystal structure of FeMoRh. The functional is PBE.

The space group is F-43m (No. 216) and the conventional cell measures 5.760, 5.760 and 5.760 Å, with angles of 90.00, 90.00 and 90.00 degrees. Symmetry generates all atoms from Fe at (0.000, 0.000, 0.000), Mo at (0.250, 0.250, 0.250) and Rh at (0.000, 0.000, 0.500).

The final energy comes out at -100.0 eV per cell. For the energy relative to the elements, the calculation gives 0.547 eV/atom. As for the volume: 191.1 Å³ per cell.


(3)
This record from the Alexandria database describes an optimized crystal structure of LiSc2Os. The functional is PBE.

The space group is Imm2 (No. 44) and the conventional cell measures 3.289, 4.584 and 9.740 Å, with angles of 90.00, 90.00 and 90.00 degrees. Symmetry generates all atoms from Li at (0.000, 0.000, 0.000), Sc at (0.000, 0.000, 0.429), Sc at (0.000, 0.500, 0.220) and Os at (0.000, 0.500, 0.714).

The final energy comes out at -52.3 eV per cell. For the energy relative to the elements, the calculation gives -0.091 eV/atom. As for the volume: 146.9 Å³ per cell.


(4)
This record from the Alexandria database describes an optimized crystal structure of KInPt2Pb. The functional is PBE.

The space group is P4/mmm (No. 123) and the conventional cell measures 5.230, 5.230 and 5.603 Å, with angles of 90.00, 90.00 and 90.00 degrees. Symmetry generates all atoms from K at (0.000, 0.000, 0.000), In at (0.500, 0.500, 0.500), Pt at (0.000, 0.500, 0.000) and Pb at (0.000, 0.000, 0.500).

The final energy comes out at -12.6 eV per cell. For the energy relative to the elements, the calculation gives 1.402 eV/atom. As for the volume: 153.2 Å³ per cell.


(5)
This record from the Alexandria database describes an optimized crystal structure of Y2Tl2Hg. The functional is PBE.

The space group is Cmmm (No. 65) and the conventional cell measures 3.659, 21.251 and 3.592 Å, with angles of 90.00, 90.00 and 90.00 degrees. Symmetry generates all atoms from Y at (0.000, 0.092, 0.000), Tl at (0.000, 0.310, 0.500) and Hg at (0.000, 0.500, 0.500).

The final energy comes out at -38.5 eV per cell. For the energy relative to the elements, the calculation gives -0.259 eV/atom. As for the volume: 279.3 Å³ per cell.


(6)
This record from the Alexandria database describes an optimized crystal structure of YCrCl2. The functional is PBE.

The space group is Cm (No. 8) and the conventional cell measures 12.314, 3.442 and 6.347 Å, with angles of 90.00, 112.86 and 90.00 degrees. Symmetry generates all atoms from Y at (0.000, 0.000, 0.000), Cr at (0.156, 0.500, 0.805), Cl at (0.040, 0.500, 0.350) and Cl at (0.324, 0.000, 0.748).

As for the uncorrected formation energy: -0.7477 eV/atom. The final energy comes out at -45.5 eV per cell. As for the volume: 247.9 Å³ per cell.